1.
{
  "formula": "LaHg3Bi",
  "functional": "PBE-GGA",
  "state": "relaxed",
  "cell": [[8.407, 0.000, 0.000], [0.000, 7.636, 0.000], [0.000, 0.000, 8.753]],
  "species": ["La", "La", "La", "La", "Hg", "Hg", "Hg", "Hg", "Hg", "Hg", "Hg", "Hg", "Hg", "Hg", "Hg", "Hg", "Bi", "Bi", "Bi", "Bi"],
  "fractional_positions": [[0.139, 0.250, 0.189], [0.361, 0.750, 0.689], [0.639, 0.250, 0.311], [0.861, 0.750, 0.811], [0.140, 0.058, 0.838], [0.140, 0.442, 0.838], [0.174, 0.750, 0.069], [0.326, 0.250, 0.569], [0.360, 0.558, 0.338], [0.360, 0.942, 0.338], [0.640, 0.058, 0.662], [0.640, 0.442, 0.662], [0.674, 0.750, 0.431], [0.826, 0.250, 0.931], [0.860, 0.558, 0.162], [0.860, 0.942, 0.162], [0.000, 0.000, 0.500], [0.000, 0.500, 0.500], [0.500, 0.000, 0.000], [0.500, 0.500, 0.000]],
  "formation_enthalpy_0k_ev_per_atom": -0.3129,
  "n_ef_per_ev_cell": 13.55,
  "density_g_cm3": 11.2,
  "final_energy_ev_per_atom": -2.2556
}



2.
{
  "formula": "La3Hg2Bi",
  "functional": "PBE-GGA",
  "state": "relaxed",
  "cell": [[5.436, 0.000, 0.000], [0.000, 16.618, 0.000], [0.000, 0.000, 4.109]],
  "species": ["La", "La", "La", "La", "La", "La", "Hg", "Hg", "Hg", "Hg", "Bi", "Bi"],
  "fractional_positions": [[0.250, 0.086, 0.000], [0.250, 0.414, 0.000], [0.250, 0.750, 0.001], [0.750, 0.250, 0.999], [0.750, 0.586, 0.000], [0.750, 0.914, 0.000], [0.250, 0.571, 0.500], [0.250, 0.929, 0.500], [0.750, 0.071, 0.500], [0.750, 0.429, 0.500], [0.250, 0.250, 0.499], [0.750, 0.750, 0.501]],
  "formation_enthalpy_0k_ev_per_atom": -0.6312,
  "n_ef_per_ev_cell": 12.41,
  "density_g_cm3": 9.2,
  "final_energy_ev_per_atom": -3.8423
}



In order of appearance, spin magnetization = 0.00 0.00 Bohr magnetons per cell.